No. 1
! Ba2IrRu3O12 PBE-GGA relaxed; values from VASP
! Raw formation energy, eV per atom: -1.293
! VASP energy, eV per formula unit: -123.32
! Size of the total moment, μB/f.u.: 3.2
&SYSTEM
  ibrav = 0, nat = 18, ntyp = 4
/
ATOMIC_SPECIES
O 16.00 O.upf
Ba 137.33 Ba.upf
Ru 101.07 Ru.upf
Ir 192.22 Ir.upf
ATOMIC_POSITIONS crystal
O 0.079 0.079 0.671
O 0.074 0.677 0.677
Ba 0.627 0.627 0.627
O 0.921 0.329 0.921
O 0.671 0.079 0.079
O 0.677 0.074 0.677
O 0.323 0.926 0.323
Ru 0.000 0.500 0.000
O 0.329 0.921 0.921
O 0.921 0.921 0.329
Ba 0.373 0.373 0.373
Ru 0.500 0.000 0.000
O 0.323 0.323 0.926
Ir 0.000 0.000 0.000
O 0.677 0.677 0.074
O 0.079 0.671 0.079
Ru 0.000 0.000 0.500
O 0.926 0.323 0.323
CELL_PARAMETERS angstrom
-4.980 -4.937 -1.300
-0.463 -2.928 -6.487
1.930 -6.799 -0.953

No. 2
! Ba2IrRuO6 PBE-GGA relaxed; values from VASP
! Raw formation energy, eV per atom: -1.652
! VASP energy, eV per formula unit: -68.25
! Size of the total moment, μB/f.u.: 1.6
&SYSTEM
  ibrav = 0, nat = 20, ntyp = 4
/
ATOMIC_SPECIES
O 16.00 O.upf
Ru 101.07 Ru.upf
Ba 137.33 Ba.upf
Ir 192.22 Ir.upf
ATOMIC_POSITIONS crystal
O 0.797 0.286 0.121
O 0.611 0.611 0.634
Ru 0.411 0.411 0.767
O 0.797 0.797 0.121
Ru 0.589 0.589 0.233
O 0.857 0.389 0.366
Ba 0.711 0.711 0.866
O 0.389 0.389 0.366
O 0.143 0.611 0.634
O 0.203 0.714 0.879
O 0.714 0.203 0.879
Ir 0.000 0.000 0.000
Ba 0.875 0.875 0.375
O 0.611 0.143 0.634
O 0.389 0.857 0.366
Ir 0.500 0.500 0.500
Ba 0.289 0.289 0.134
O 0.203 0.203 0.879
O 0.286 0.797 0.121
Ba 0.125 0.125 0.625
CELL_PARAMETERS angstrom
5.829 0.000 0.000
2.914 5.048 0.000
2.914 1.683 9.653

No. 3
! BaIrRuO6 PBE-GGA relaxed; values from VASP
! Raw formation energy, eV per atom: -1.354
! VASP energy, eV per formula unit: -62.00
! Size of the total moment, μB/f.u.: 1.0
&SYSTEM
  ibrav = 0, nat = 9, ntyp = 4
/
ATOMIC_SPECIES
O 16.00 O.upf
Ir 192.22 Ir.upf
Ru 101.07 Ru.upf
Ba 137.33 Ba.upf
ATOMIC_POSITIONS crystal
O 0.391 0.610 0.310
O 0.999 0.610 0.690
O 0.610 0.999 0.310
O 0.610 0.391 0.690
Ir 0.333 0.333 0.500
O 0.391 0.999 0.690
O 0.999 0.391 0.310
Ru 0.667 0.667 0.500
Ba 0.000 0.000 0.000
CELL_PARAMETERS angstrom
-4.134 2.961 1.738
-3.069 -1.778 4.038
3.370 2.544 3.681

No. 4
! Ba3TbIrRuO9 PBE-GGA relaxed; values from VASP
! Raw formation energy, eV per atom: -2.159
! VASP energy, eV per formula unit: -105.54
! Size of the total moment, μB/f.u.: 1.5
&SYSTEM
  ibrav = 0, nat = 30, ntyp = 5
/
ATOMIC_SPECIES
O 16.00 O.upf
Ba 137.33 Ba.upf
Ru 101.07 Ru.upf
Ir 192.22 Ir.upf
Tb 158.93 Tb.upf
ATOMIC_POSITIONS crystal
O 0.647 0.823 0.089
O 0.177 0.353 0.089
Ba 0.333 0.667 0.905
O 0.823 0.647 0.589
Ru 0.667 0.333 0.664
Ba 0.000 0.000 0.249
Ir 0.667 0.333 0.835
O 0.177 0.823 0.089
O 0.979 0.490 0.750
O 0.510 0.021 0.750
O 0.647 0.823 0.414
O 0.177 0.823 0.414
O 0.490 0.510 0.250
Ba 0.333 0.667 0.592
Ir 0.333 0.667 0.335
O 0.823 0.647 0.914
Ru 0.333 0.667 0.164
O 0.177 0.353 0.414
Ba 0.000 0.000 0.749
Ba 0.667 0.333 0.405
Tb 0.000 0.000 0.999
O 0.353 0.177 0.589
Tb 0.000 0.000 0.499
O 0.353 0.177 0.914
O 0.823 0.177 0.589
O 0.510 0.490 0.750
O 0.490 0.979 0.250
O 0.021 0.510 0.250
O 0.823 0.177 0.914
Ba 0.667 0.333 0.092
CELL_PARAMETERS angstrom
5.962 0.000 0.000
-2.981 5.163 0.000
0.000 0.000 14.719

No. 5
! Ba3TmIrRuO9 PBE-GGA relaxed; values from VASP
! Raw formation energy, eV per atom: -2.185
! VASP energy, eV per formula unit: -105.78
! Size of the total moment, μB/f.u.: 1.5
&SYSTEM
  ibrav = 0, nat = 30, ntyp = 5
/
ATOMIC_SPECIES
O 16.00 O.upf
Ru 101.07 Ru.upf
Tm 168.93 Tm.upf
Ba 137.33 Ba.upf
Ir 192.22 Ir.upf
ATOMIC_POSITIONS crystal
O 0.510 0.021 0.751
O 0.825 0.175 0.913
Ru 0.333 0.667 0.337
Tm 0.000 0.000 0.001
Ba 0.000 0.000 0.250
Tm 0.000 0.000 0.501
O 0.979 0.490 0.751
O 0.510 0.490 0.751
O 0.825 0.175 0.585
O 0.650 0.825 0.413
Ba 0.000 0.000 0.750
O 0.350 0.175 0.585
O 0.650 0.825 0.085
O 0.175 0.350 0.413
O 0.490 0.979 0.251
O 0.175 0.825 0.413
Ir 0.667 0.333 0.664
O 0.175 0.825 0.085
Ir 0.333 0.667 0.164
O 0.825 0.650 0.913
Ru 0.667 0.333 0.837
O 0.490 0.510 0.251
O 0.350 0.175 0.913
Ba 0.333 0.667 0.910
O 0.175 0.350 0.085
Ba 0.667 0.333 0.092
Ba 0.667 0.333 0.410
Ba 0.333 0.667 0.592
O 0.021 0.510 0.251
O 0.825 0.650 0.585
CELL_PARAMETERS angstrom
-4.940 -0.008 -3.276
4.196 -4.077 -0.954
-6.403 -8.854 9.678

No. 6
! Ba3YbIrRuO9 PBE-GGA relaxed; values from VASP
! Raw formation energy, eV per atom: -2.060
! VASP energy, eV per formula unit: -100.95
! Size of the total moment, μB/f.u.: 1.5
&SYSTEM
  ibrav = 0, nat = 30, ntyp = 5
/
ATOMIC_SPECIES
Yb 173.04 Yb.upf
Ir 192.22 Ir.upf
Ru 101.07 Ru.upf
O 16.00 O.upf
Ba 137.33 Ba.upf
ATOMIC_POSITIONS crystal
Yb 0.000 0.000 0.501
Ir 0.333 0.333 0.664
Ru 0.667 0.667 0.338
Ir 0.667 0.667 0.164
O 0.511 0.511 0.250
O 0.353 0.823 0.411
O 0.823 0.823 0.087
Ba 0.333 0.333 0.095
Ba 0.000 0.000 0.250
O 0.646 0.177 0.587
O 0.823 0.823 0.411
O 0.511 0.979 0.250
O 0.823 0.353 0.411
Ba 0.333 0.333 0.409
O 0.177 0.177 0.587
Ba 0.667 0.667 0.595
O 0.823 0.354 0.087
Yb 0.000 0.000 0.001
O 0.177 0.646 0.587
Ba 0.000 0.000 0.750
O 0.489 0.489 0.750
Ru 0.333 0.333 0.838
Ba 0.667 0.667 0.909
O 0.177 0.647 0.911
O 0.647 0.177 0.911
O 0.489 0.021 0.750
O 0.177 0.177 0.911
O 0.354 0.823 0.087
O 0.979 0.511 0.250
O 0.021 0.489 0.750
CELL_PARAMETERS angstrom
-4.112 0.695 -4.257
0.003 -3.586 -4.759
-8.847 -9.331 7.024

No. 7
! Ba2SbIrO6 PBE-GGA relaxed; values from VASP
! Raw formation energy, eV per atom: -1.726
! VASP energy, eV per formula unit: -63.84
! Size of the total moment, μB/f.u.: 0.4
&SYSTEM
  ibrav = 0, nat = 10, ntyp = 4
/
ATOMIC_SPECIES
O 16.00 O.upf
Ba 137.33 Ba.upf
Ir 192.22 Ir.upf
Sb 121.76 Sb.upf
ATOMIC_POSITIONS crystal
O 0.253 0.748 0.000
O 0.252 0.253 0.000
O 0.747 0.252 0.000
O 0.748 0.747 0.000
O 0.747 0.747 0.505
Ba 0.250 0.750 0.500
O 0.253 0.253 0.495
Ir 0.000 0.000 0.000
Ba 0.750 0.250 0.500
Sb 0.500 0.500 0.000
CELL_PARAMETERS angstrom
-5.268 -2.349 -1.066
0.182 -2.751 5.178
-4.361 0.711 3.853

No. 8
! Ba2ScIrO6 PBE-GGA relaxed; values from VASP
! Raw formation energy, eV per atom: -2.356
! VASP energy, eV per formula unit: -72.34
! Size of the total moment, μB/f.u.: 2.0
&SYSTEM
  ibrav = 0, nat = 10, ntyp = 4
/
ATOMIC_SPECIES
O 16.00 O.upf
Ir 192.22 Ir.upf
Sc 44.96 Sc.upf
Ba 137.33 Ba.upf
ATOMIC_POSITIONS crystal
O 0.743 0.257 0.743
O 0.743 0.743 0.257
Ir 0.500 0.500 0.500
Sc 0.000 0.000 0.000
O 0.257 0.743 0.743
Ba 0.250 0.250 0.250
O 0.257 0.743 0.257
O 0.743 0.257 0.257
O 0.257 0.257 0.743
Ba 0.750 0.750 0.750
CELL_PARAMETERS angstrom
-1.925 3.398 4.318
2.698 -0.040 5.159
3.124 4.614 1.687

No. 9
! Ba2ScIr3O12 PBE-GGA relaxed; values from VASP
! Raw formation energy, eV per atom: -1.516
! VASP energy, eV per formula unit: -123.54
! Size of the total moment, μB/f.u.: 0.0
&SYSTEM
  ibrav = 0, nat = 18, ntyp = 4
/
ATOMIC_SPECIES
O 16.00 O.upf
Sc 44.96 Sc.upf
Ir 192.22 Ir.upf
Ba 137.33 Ba.upf
ATOMIC_POSITIONS crystal
O 0.318 0.318 0.893
O 0.904 0.904 0.360
O 0.096 0.096 0.640
Sc 0.000 0.000 0.000
Ir 0.000 0.500 0.000
O 0.096 0.640 0.096
O 0.360 0.904 0.904
O 0.893 0.318 0.318
O 0.682 0.682 0.107
Ir 0.000 0.000 0.500
Ba 0.384 0.384 0.384
O 0.904 0.360 0.904
Ir 0.500 0.000 0.000
O 0.107 0.682 0.682
O 0.682 0.107 0.682
O 0.318 0.893 0.318
Ba 0.616 0.616 0.616
O 0.640 0.096 0.096
CELL_PARAMETERS angstrom
7.086 -0.054 -0.039
3.452 6.189 -0.039
3.452 2.010 5.853

No. 10
! BaScIrO6 PBE-GGA relaxed; values from VASP
! Raw formation energy, eV per atom: -1.897
! VASP energy, eV per formula unit: -63.94
! Size of the total moment, μB/f.u.: 2.0
&SYSTEM
  ibrav = 0, nat = 9, ntyp = 4
/
ATOMIC_SPECIES
O 16.00 O.upf
Ir 192.22 Ir.upf
Ba 137.33 Ba.upf
Sc 44.96 Sc.upf
ATOMIC_POSITIONS crystal
O 0.607 0.026 0.308
O 0.026 0.367 0.308
Ir 0.333 0.333 0.500
O 0.026 0.607 0.692
Ba 0.000 0.000 0.000
O 0.367 0.026 0.692
Sc 0.667 0.667 0.500
O 0.367 0.607 0.308
O 0.607 0.367 0.692
CELL_PARAMETERS angstrom
-4.135 -0.264 3.466
-4.977 -1.070 -1.808
0.953 -5.626 0.708

No. 11
! BaSmIr2O8 PBE-GGA relaxed; values from VASP
! Raw formation energy, eV per atom: -1.348
! VASP energy, eV per formula unit: -80.20
! Size of the total moment, μB/f.u.: 1.0
&SYSTEM
  ibrav = 0, nat = 12, ntyp = 4
/
ATOMIC_SPECIES
Ir 192.22 Ir.upf
O 16.00 O.upf
Ba 137.33 Ba.upf
Sm 150.36 Sm.upf
ATOMIC_POSITIONS crystal
Ir 0.333 0.667 0.779
O 0.333 0.667 0.014
O 0.674 0.836 0.703
Ba 0.000 0.000 0.000
O 0.836 0.162 0.297
O 0.164 0.838 0.703
O 0.162 0.326 0.703
Ir 0.667 0.333 0.221
O 0.326 0.164 0.297
O 0.838 0.674 0.297
O 0.667 0.333 0.986
Sm 0.000 0.000 0.500
CELL_PARAMETERS angstrom
-0.128 -2.172 -5.564
4.973 2.568 2.091
2.445 -6.875 2.627

No. 12
! BaSmIrO6 PBE-GGA relaxed; values from VASP
! Raw formation energy, eV per atom: -1.847
! VASP energy, eV per formula unit: -61.87
! Size of the total moment, μB/f.u.: 2.0
&SYSTEM
  ibrav = 0, nat = 9, ntyp = 4
/
ATOMIC_SPECIES
O 16.00 O.upf
Sm 150.36 Sm.upf
Ir 192.22 Ir.upf
Ba 137.33 Ba.upf
ATOMIC_POSITIONS crystal
O 0.050 0.347 0.302
O 0.050 0.603 0.698
Sm 0.667 0.667 0.500
Ir 0.333 0.333 0.500
O 0.603 0.347 0.698
O 0.347 0.603 0.302
O 0.347 0.050 0.698
O 0.603 0.050 0.302
Ba 0.000 0.000 0.000
CELL_PARAMETERS angstrom
5.714 0.000 0.000
2.857 4.948 0.000
0.000 0.000 5.599

What did the sixth record say?
! Ba3YbIrRuO9 PBE-GGA relaxed; values from VASP
! Raw formation energy, eV per atom: -2.060
! VASP energy, eV per formula unit: -100.95
! Size of the total moment, μB/f.u.: 1.5
&SYSTEM
  ibrav = 0, nat = 30, ntyp = 5
/
ATOMIC_SPECIES
Yb 173.04 Yb.upf
Ir 192.22 Ir.upf
Ru 101.07 Ru.upf
O 16.00 O.upf
Ba 137.33 Ba.upf
ATOMIC_POSITIONS crystal
Yb 0.000 0.000 0.501
Ir 0.333 0.333 0.664
Ru 0.667 0.667 0.338
Ir 0.667 0.667 0.164
O 0.511 0.511 0.250
O 0.353 0.823 0.411
O 0.823 0.823 0.087
Ba 0.333 0.333 0.095
Ba 0.000 0.000 0.250
O 0.646 0.177 0.587
O 0.823 0.823 0.411
O 0.511 0.979 0.250
O 0.823 0.353 0.411
Ba 0.333 0.333 0.409
O 0.177 0.177 0.587
Ba 0.667 0.667 0.595
O 0.823 0.354 0.087
Yb 0.000 0.000 0.001
O 0.177 0.646 0.587
Ba 0.000 0.000 0.750
O 0.489 0.489 0.750
Ru 0.333 0.333 0.838
Ba 0.667 0.667 0.909
O 0.177 0.647 0.911
O 0.647 0.177 0.911
O 0.489 0.021 0.750
O 0.177 0.177 0.911
O 0.354 0.823 0.087
O 0.979 0.511 0.250
O 0.021 0.489 0.750
CELL_PARAMETERS angstrom
-4.112 0.695 -4.257
0.003 -3.586 -4.759
-8.847 -9.331 7.024